No. 1
VASP calculation (PBE) on a relaxed Li2ReTe crystal.

Cell and atoms, written as POSCAR:
```
Li2ReTe
1.0
-2.9334 0.4600 -1.6299
-1.6925 -0.6819 2.8537
0.1027 5.6751 1.4169
Re Te Li
1 1 2
Cartesian
0.0520 2.8708 0.7168
-2.2385 4.0034 1.6392
-2.2872 1.3139 0.9677
0.0019 0.1026 0.0256
```

Summary:
Symmetry   P4mm (99)
D(E_F)   1.8 states/eV per cell
Raw formation energy   0.1492 eV per atom

=====

No. 2
VASP calculation (PBE) on a relaxed CeY2Ag crystal.

Cell and atoms, written as POSCAR:
```
CeY2Ag
1.0
3.6183 0.0000 0.0000
0.0000 3.6183 0.0000
0.0000 0.0000 8.3897
Y Ag Ce
2 1 1
Cartesian
0.0000 0.0000 6.5681
0.0000 0.0000 1.8216
1.8091 1.8091 0.0000
1.8091 1.8091 4.1949
```

Summary:
Symmetry   P4/mmm (123)
D(E_F)   7.6 states/eV per cell
Formation energy from the elements   -2.08 kcal/mol of atoms

=====

No. 3
VASP calculation (PBE) on a relaxed LaSm6Er12 crystal.

Cell and atoms, written as POSCAR:
```
LaSm6Er12
1.0
8.3665 1.2821 1.5359
-0.0012 8.4642 1.5359
-0.0012 -0.0013 8.6024
La Er Sm
1 12 6
Cartesian
0.0000 0.0000 0.0000
4.0113 1.7770 2.1277
4.0405 7.4182 6.1315
7.2159 8.4081 7.1278
4.0402 4.7075 8.3944
1.1473 4.2341 2.1286
1.6444 4.6268 5.5425
1.1483 1.3368 4.5464
7.2170 5.5108 9.5456
6.7199 5.1182 6.1317
4.3240 5.0375 3.2797
4.3530 7.9679 9.5465
4.3237 2.3267 5.5427
6.4531 7.5182 3.7748
1.9113 7.3744 3.6024
6.4530 2.3705 8.0718
6.9994 3.0070 3.6025
1.3648 6.7379 8.0717
1.9111 2.2267 7.8994
```

Summary:
Symmetry   R-3m (166)
D(E_F)   31.3 states/eV per cell
Formation energy from the elements   2.53 kcal/mol of atoms

=====

No. 4
VASP calculation (PBE) on a relaxed LiYOs2 crystal.

Cell and atoms, written as POSCAR:
```
LiYOs2
1.0
5.2619 -0.0024 0.0000
2.4208 4.6720 0.0000
-3.8413 -2.3348 2.7351
Os Y Li
2 1 1
Cartesian
0.0000 0.0000 0.0000
3.8413 2.3348 0.0000
1.2104 2.3360 1.3675
2.6309 -0.0012 1.3675
```

Summary:
Symmetry   I4/mmm (139)
D(E_F)   5.5 states/eV per cell
Formation energy from the elements   7.50 kcal/mol of atoms

=====

No. 5
VASP calculation (PBE) on a relaxed RbV2CrRu crystal.

Cell and atoms, written as POSCAR:
```
RbV2CrRu
1.0
-4.0289 -0.6408 1.7231
1.7795 -0.9182 3.8193
-0.2006 4.2793 1.1223
V Ru Cr Rb
2 1 1 1
Cartesian
-2.0145 -0.3204 0.8615
-0.1003 2.1396 0.5611
-1.2250 1.3601 3.3323
0.8897 -0.4591 1.9096
0.0000 0.0000 0.0000
```

Summary:
Symmetry   P4/mmm (123)
D(E_F)   10.9 states/eV per cell
Formation energy from the elements   66.41 kcal/mol of atoms

=====

No. 6
VASP calculation (PBE) on a relaxed Cr2NiHPt crystal.

Cell and atoms, written as POSCAR:
```
Cr2NiHPt
1.0
-2.9184 2.1611 0.2361
-0.2435 -0.7176 3.5594
2.3410 3.0761 0.7803
Ni Cr Pt H
1 2 1 1
Cartesian
-0.4105 2.2598 2.2879
-0.1217 -0.3588 1.7797
-1.4592 1.0806 0.1180
1.1705 1.5380 0.3901
0.0000 0.0000 0.0000
```

Summary:
Symmetry   P4/mmm (123)
D(E_F)   5.5 states/eV per cell

=====

No. 7
VASP calculation (PBE) on a relaxed K2MoAs crystal.

Cell and atoms, written as POSCAR:
```
K2MoAs
1.0
-11.0521 -3.4090 -2.8376
-10.8685 -4.8658 -0.1515
-11.7481 -1.9352 -0.2464
K Mo As
2 1 1
Cartesian
-16.6538 -5.0503 -1.6004
-0.1806 -0.0548 -0.0174
-8.4172 -2.5525 -0.8089
-25.2516 -7.6575 -2.4266
```

Summary:
Symmetry   R-3m (166)
D(E_F)   4.2 states/eV per cell
Formation energy from the elements   21.77 kcal/mol of atoms

=====

No. 8
VASP calculation (PBE) on a relaxed CrHgSe2 crystal.

Cell and atoms, written as POSCAR:
```
CrHgSe2
1.0
3.0928 0.0000 0.0000
0.0000 3.0928 0.0000
0.0000 0.0000 9.0664
Hg Se Cr
1 2 1
Cartesian
1.5464 1.5464 6.4687
0.0000 0.0000 8.9076
1.5464 1.5464 3.0199
0.0000 0.0000 4.2699
```

Summary:
Symmetry   P4mm (99)
D(E_F)   2.0 states/eV per cell
Raw formation energy   0.1203 eV per atom

=====

The calculation returns the following uncorrected energy values, one per record and in order: -0.1729 -0.2028 -0.1662 -0.2714 -0.1742 -0.2512 -0.1277 -0.1508 Ha/atom.